The following is a PBE calculation of an optimized crystal structure of Co2NiMoS, from the Alexandria database.

The structure in POSCAR format:
```
Co2NiMoS
1.0
4.3201 0.0000 0.0000
0.0000 4.3201 0.0000
0.0000 0.0000 4.0126
Co Ni Mo S
2 1 1 1
Direct
0.0000 0.5000 0.0000
0.5000 0.0000 0.0000
0.0000 0.0000 0.0000
0.5000 0.5000 0.5000
0.0000 0.0000 0.5000
```

Calculated values
ρ in Mg/m³: 6.753
Raw formation energy in eV/atom: 1.143